(1)
# NbI2ClO GGA-PBE optimized geometry
# Electronic total energy (eV per atom): -5.22
# Total moment (μB/f.u.): 0.0
# Calculated volume (Å³ per atom): 31.5
data_NbI2ClO
_cell_length_a 14.827
_cell_length_b 3.987
_cell_length_c 12.496
_cell_angle_alpha 90.00
_cell_angle_beta 121.48
_cell_angle_gamma 90.00
_symmetry_space_group_name_H-M 'C 1 2 1'
_symmetry_Int_Tables_number 5
loop_
_symmetry_equiv_pos_as_xyz
'x,y,z'
'-x,y,-z'
'x+1/2,y+1/2,z'
'-x+1/2,y+1/2,-z'
loop_
_atom_site_label
_atom_site_type_symbol
_atom_site_fract_x
_atom_site_fract_y
_atom_site_fract_z
_atom_site_occupancy
Nb1 Nb 0.127 0.000 0.207 1
I1 I 0.102 0.061 0.958 1
I2 I 0.165 0.555 0.698 1
Cl1 Cl 0.105 0.055 0.376 1
O1 O 0.121 0.544 0.195 1

(2)
# NbICl2O GGA-PBE optimized geometry
# Electronic total energy (eV per atom): -5.47
# Total moment (μB/f.u.): 0.0
# Calculated volume (Å³ per atom): 28.9
data_NbICl2O
_cell_length_a 14.004
_cell_length_b 3.992
_cell_length_c 11.961
_cell_angle_alpha 90.00
_cell_angle_beta 120.35
_cell_angle_gamma 90.00
_symmetry_space_group_name_H-M 'C 1 2 1'
_symmetry_Int_Tables_number 5
loop_
_symmetry_equiv_pos_as_xyz
'x,y,z'
'-x,y,-z'
'x+1/2,y+1/2,z'
'-x+1/2,y+1/2,-z'
loop_
_atom_site_label
_atom_site_type_symbol
_atom_site_fract_x
_atom_site_fract_y
_atom_site_fract_z
_atom_site_occupancy
Nb1 Nb 0.133 0.000 0.209 1
I1 I 0.106 0.068 0.952 1
Cl1 Cl 0.108 0.059 0.385 1
Cl2 Cl 0.179 0.559 0.712 1
O1 O 0.125 0.548 0.196 1

(3)
# NbICl2O GGA-PBE optimized geometry
# Electronic total energy (eV per atom): -5.47
# Total moment (μB/f.u.): 0.0
# Calculated volume (Å³ per atom): 28.4
data_NbICl2O
_cell_length_a 13.915
_cell_length_b 3.874
_cell_length_c 12.279
_cell_angle_alpha 90.00
_cell_angle_beta 120.95
_cell_angle_gamma 90.00
_symmetry_space_group_name_H-M 'C 1 2/m 1'
_symmetry_Int_Tables_number 12
loop_
_symmetry_equiv_pos_as_xyz
'x,y,z'
'-x,-y,-z'
'-x,y,-z'
'x,-y,z'
'x+1/2,y+1/2,z'
'-x+1/2,-y+1/2,-z'
'-x+1/2,y+1/2,-z'
'x+1/2,-y+1/2,z'
loop_
_atom_site_label
_atom_site_type_symbol
_atom_site_fract_x
_atom_site_fract_y
_atom_site_fract_z
_atom_site_occupancy
Nb1 Nb 0.117 0.000 0.181 1
I1 I 0.096 0.000 0.385 1
Cl1 Cl 0.098 0.000 0.963 1
Cl2 Cl 0.190 0.500 0.723 1
O1 O 0.105 0.500 0.167 1

(4)
# NbICl2O GGA-PBE optimized geometry
# Electronic total energy (eV per atom): -5.48
# Total moment (μB/f.u.): 0.0
# Calculated volume (Å³ per atom): 28.5
data_NbICl2O
_cell_length_a 13.849
_cell_length_b 3.960
_cell_length_c 12.106
_cell_angle_alpha 90.00
_cell_angle_beta 120.91
_cell_angle_gamma 90.00
_symmetry_space_group_name_H-M 'C 1 2 1'
_symmetry_Int_Tables_number 5
loop_
_symmetry_equiv_pos_as_xyz
'x,y,z'
'-x,y,-z'
'x+1/2,y+1/2,z'
'-x+1/2,y+1/2,-z'
loop_
_atom_site_label
_atom_site_type_symbol
_atom_site_fract_x
_atom_site_fract_y
_atom_site_fract_z
_atom_site_occupancy
Nb1 Nb 0.120 0.000 0.184 1
I1 I 0.099 0.051 0.390 1
Cl1 Cl 0.095 0.057 0.960 1
Cl2 Cl 0.188 0.551 0.724 1
O1 O 0.112 0.542 0.174 1

(5)
# Nb3SI3Cl4 GGA-PBE optimized geometry
# Electronic total energy (eV per atom): -5.20
# Total moment (μB/f.u.): 0.0
# Calculated volume (Å³ per atom): 27.6
data_Nb3SI3Cl4
_cell_length_a 7.2806
_cell_length_b 7.2806
_cell_length_c 6.6084
_cell_angle_alpha 90.00
_cell_angle_beta 90.00
_cell_angle_gamma 120.00
_symmetry_space_group_name_H-M 'P 3 m 1'
_symmetry_Int_Tables_number 156
loop_
_symmetry_equiv_pos_as_xyz
'x,y,z'
'-y,x-y,z'
'-x+y,-x,z'
'-y,-x,z'
'-x+y,y,z'
'x,x-y,z'
loop_
_atom_site_label
_atom_site_type_symbol
_atom_site_fract_x
_atom_site_fract_y
_atom_site_fract_z
_atom_site_occupancy
Nb1 Nb 0.2009 0.4018 0.0000 1
S1 S 0.3333 0.6667 0.2614 1
I1 I 0.3393 0.1697 0.2468 1
Cl1 Cl 0.0000 0.0000 0.8184 1
Cl2 Cl 0.0100 0.5050 0.7622 1

(6)
# Nb3SeICl6 GGA-PBE optimized geometry
# Electronic total energy (eV per atom): -5.38
# Total moment (μB/f.u.): 0.0
# Calculated volume (Å³ per atom): 26.1
data_Nb3SeICl6
_cell_length_a 7.0393
_cell_length_b 7.0393
_cell_length_c 6.6817
_cell_angle_alpha 90.00
_cell_angle_beta 90.00
_cell_angle_gamma 120.00
_symmetry_space_group_name_H-M 'P 3 m 1'
_symmetry_Int_Tables_number 156
loop_
_symmetry_equiv_pos_as_xyz
'x,y,z'
'-y,x-y,z'
'-x+y,-x,z'
'-y,-x,z'
'-x+y,y,z'
'x,x-y,z'
loop_
_atom_site_label
_atom_site_type_symbol
_atom_site_fract_x
_atom_site_fract_y
_atom_site_fract_z
_atom_site_occupancy
Nb1 Nb 0.0594 0.5297 0.0000 1
Se1 Se 0.3333 0.6667 0.2884 1
I1 I 0.6667 0.3333 0.7377 1
Cl1 Cl 0.1697 0.3395 0.7664 1
Cl2 Cl 0.3365 0.1683 0.1913 1

(7)
# Nb3SeI4Cl3 GGA-PBE optimized geometry
# Electronic total energy (eV per atom): -5.03
# Total moment (μB/f.u.): 0.0
# Calculated volume (Å³ per atom): 30.5
data_Nb3SeI4Cl3
_cell_length_a 7.4614
_cell_length_b 7.4614
_cell_length_c 6.9662
_cell_angle_alpha 90.00
_cell_angle_beta 90.00
_cell_angle_gamma 120.00
_symmetry_space_group_name_H-M 'P 3 m 1'
_symmetry_Int_Tables_number 156
loop_
_symmetry_equiv_pos_as_xyz
'x,y,z'
'-y,x-y,z'
'-x+y,-x,z'
'-y,-x,z'
'-x+y,y,z'
'x,x-y,z'
loop_
_atom_site_label
_atom_site_type_symbol
_atom_site_fract_x
_atom_site_fract_y
_atom_site_fract_z
_atom_site_occupancy
Nb1 Nb 0.0729 0.5365 0.0000 1
Se1 Se 0.3333 0.6667 0.2738 1
I1 I 0.3282 0.1641 0.2244 1
I2 I 0.6667 0.3333 0.7772 1
Cl1 Cl 0.1765 0.3531 0.7750 1

(8)
# Nb3SeI3Cl4 GGA-PBE optimized geometry
# Electronic total energy (eV per atom): -5.11
# Total moment (μB/f.u.): 0.0
# Calculated volume (Å³ per atom): 29.1
data_Nb3SeI3Cl4
_cell_length_a 7.3249
_cell_length_b 7.3249
_cell_length_c 6.8997
_cell_angle_alpha 90.00
_cell_angle_beta 90.00
_cell_angle_gamma 120.00
_symmetry_space_group_name_H-M 'P 3 m 1'
_symmetry_Int_Tables_number 156
loop_
_symmetry_equiv_pos_as_xyz
'x,y,z'
'-y,x-y,z'
'-x+y,-x,z'
'-y,-x,z'
'-x+y,y,z'
'x,x-y,z'
loop_
_atom_site_label
_atom_site_type_symbol
_atom_site_fract_x
_atom_site_fract_y
_atom_site_fract_z
_atom_site_occupancy
Nb1 Nb 0.0677 0.5339 0.0000 1
Se1 Se 0.3333 0.6667 0.2734 1
I1 I 0.3277 0.1638 0.2334 1
Cl1 Cl 0.1730 0.3461 0.7728 1
Cl2 Cl 0.6667 0.3333 0.8249 1